This record from Alexandria describes an optimized crystal structure of Pm2ThZn2Ga2. The functional is PBE.

Results
- Formation energy from the elements: -2.52 eV/f.u.
- Fermi-level density of states: 0.703 states/eV per atom

POSCAR file:
```
Pm2ThZn2Ga2
1.0
-2.1981 -2.3643 -3.0246
-2.9242 -3.0615 1.2832
-8.9024 5.0184 -0.6882
Pm Th Zn Ga
2 1 2 2
direct
0.1274 0.1274 0.6177
0.8726 0.8726 0.3823
0.0000 0.0000 0.0000
0.6024 0.6024 0.1929
0.3976 0.3976 0.8071
0.7367 0.7367 0.7899
0.2633 0.2633 0.2101
```


This record from Alexandria describes an optimized crystal structure of NaLiTlMo2. The functional is PBE.

Results
- Formation energy from the elements: 6.94 eV/f.u.
- Fermi-level density of states: 0.958 states/eV per atom

POSCAR file:
```
NaLiTlMo2
1.0
-0.7795 -3.8667 -1.9325
4.7648 -0.6293 -0.6627
0.2775 -2.0044 3.8986
Na Tl Mo Li
1 1 2 1
direct
0.5000 0.5000 0.5000
0.0000 0.5000 0.0000
0.0000 0.0000 0.5000
0.5000 0.0000 0.0000
0.0000 0.0000 0.0000
```


This record from Alexandria describes an optimized crystal structure of NaAsI2N. The functional is PBE.

Results
- Fermi-level density of states: 0.818 states/eV per atom
- E_form (uncorrected): 1.08 eV per atom
- Energy above the most stable polymorph in this dataset: 933 meV per atom

POSCAR file:
```
NaAsI2N
1.0
-2.3204 -4.9467 -1.9098
5.2325 -2.4739 0.0502
-0.6505 -1.2918 4.1362
I Na As N
2 1 1 1
direct
0.0000 0.5000 0.0000
0.5000 0.0000 0.0000
0.0000 0.0000 0.0000
0.5000 0.5000 0.5000
0.0000 0.0000 0.5000
```


This record from Alexandria describes an optimized crystal structure of TlP2RhSe8. The functional is PBE.

Results
- Fermi-level density of states: 0.968 states/eV per atom
- E_form (uncorrected): -0.09 eV per atom

POSCAR file:
```
TlP2RhSe8
1.0
-5.0695 1.6719 -2.7881
-0.2502 -3.7254 4.7252
-0.7675 7.6081 5.9578
Tl P Rh Se
1 2 1 8
direct
0.0000 0.0000 0.0000
0.6667 0.3333 0.2774
0.3333 0.6667 0.7226
0.0000 0.0000 0.5000
0.3333 0.6667 0.9471
0.3059 0.3469 0.3411
0.6531 0.9590 0.3411
0.6667 0.3333 0.0529
0.3469 0.0410 0.6589
0.6941 0.6531 0.6589
0.9590 0.3059 0.6589
0.0410 0.6941 0.3411
```


This record from Alexandria describes an optimized crystal structure of Ga2ReO. The functional is PBE.

Results
- Fermi-level density of states: 0.544 states/eV per atom
- E_form (uncorrected): 0.02 eV per atom

POSCAR file:
```
Ga2ReO
1.0
-4.6985 -2.8124 -2.4113
2.6137 0.2434 -5.3767
0.3766 -4.1359 -3.3333
Re O Ga
2 2 4
direct
0.0000 0.0000 0.0000
0.7500 0.2500 0.5000
0.5000 0.5000 0.0000
0.2500 0.7500 0.5000
0.5521 0.1250 0.2500
0.1979 0.6250 0.2500
0.3750 0.4479 0.7500
0.8750 0.8021 0.7500
```


This record from Alexandria describes an optimized crystal structure of Na2In6Rh. The functional is PBE.

Results
- Formation energy from the elements: -0.73 eV/f.u.
- Fermi-level density of states: 0.435 states/eV per atom
- Energy above the most stable polymorph in this dataset: 43 meV per atom

POSCAR file:
```
Na2In6Rh
1.0
3.3756 0.0000 0.0000
0.0000 7.6293 -4.4048
0.0000 0.0000 8.8095
Na In Rh
2 6 1
direct
0.0000 0.3333 0.6667
0.0000 0.6667 0.3333
0.0000 0.7457 0.0000
0.0000 0.0000 0.7457
0.0000 0.2543 0.2543
0.5000 0.6527 0.6527
0.5000 0.0000 0.3473
0.5000 0.3473 0.0000
0.5000 0.0000 0.0000
```


This record from Alexandria describes an optimized crystal structure of NaSr2PtO6. The functional is PBE.

Results
- Fermi-level density of states: 0.679 states/eV per atom
- E_form (uncorrected): -1.55 eV per atom

POSCAR file:
```
NaSr2PtO6
1.0
5.7495 0.0000 -0.0105
0.0000 6.0323 0.0000
0.0349 0.0000 8.1870
Na Sr Pt O
2 4 2 12
direct
0.5000 0.0000 0.0000
0.0000 0.5000 0.5000
0.0143 0.9384 0.2511
0.5143 0.5616 0.7511
0.9857 0.0616 0.7489
0.4857 0.4384 0.2489
0.5000 0.0000 0.5000
0.0000 0.5000 0.0000
0.2782 0.6788 0.0425
0.7782 0.8212 0.5425
0.7218 0.3212 0.9575
0.2218 0.1788 0.4575
0.3265 0.7283 0.4486
0.8265 0.7717 0.9486
0.6735 0.2717 0.5514
0.1735 0.2283 0.0514
0.9103 0.5309 0.2290
0.4103 0.9691 0.7290
0.0897 0.4691 0.7710
0.5897 0.0309 0.2710
```


This record from Alexandria describes an optimized crystal structure of Sm2InSn. The functional is PBE.

Results
- Formation energy from the elements: -1.65 eV/f.u.
- Fermi-level density of states: 0.657 states/eV per atom

POSCAR file:
```
Sm2InSn
1.0
-2.4938 -2.5254 1.5920
-0.2339 -3.6314 -1.3746
5.6948 -4.7647 6.1144
Sn Sm In
1 2 1
direct
0.5000 0.5000 0.5000
0.7516 0.7516 0.7452
0.2484 0.2484 0.2548
0.0000 0.0000 0.0000
```


This record from Alexandria describes an optimized crystal structure of Sm2ScH. The functional is PBE.

Results
- Fermi-level density of states: 1.055 states/eV per atom
- Energy above the most stable polymorph in this dataset: 0 meV per atom

POSCAR file:
```
Sm2ScH
1.0
-2.3104 1.9877 1.8634
-3.3742 -1.0983 0.4122
0.2923 -3.7753 7.8137
Sc H Sm
1 1 2
direct
0.5000 0.5000 0.5000
0.0000 0.0000 0.0000
0.7249 0.7249 0.8253
0.2751 0.2751 0.1747
```


This record from Alexandria describes an optimized crystal structure of Y2VRu. The functional is PBE.

Results
- Formation energy from the elements: 0.17 eV/f.u.
- Fermi-level density of states: 0.789 states/eV per atom
- Energy above the most stable polymorph in this dataset: 152 meV per atom

POSCAR file:
```
Y2VRu
1.0
-1.0549 -4.6626 1.2707
-3.6631 -0.9249 3.1929
-4.1862 -2.1077 -1.5815
Y Ru V
2 1 1
direct
0.2500 0.2500 0.2500
0.7500 0.7500 0.7500
0.5000 0.5000 0.5000
0.0000 0.0000 0.0000
```


This record from Alexandria describes an optimized crystal structure of Cd2HgRu. The functional is PBE.

Results
- Formation energy from the elements: 1.26 eV/f.u.
- Fermi-level density of states: 0.629 states/eV per atom

POSCAR file:
```
Cd2HgRu
1.0
-3.6855 2.1401 -2.9662
-2.7634 -0.4093 -4.3769
-4.2629 -2.4736 1.6834
Cd Hg Ru
2 1 1
direct
0.0109 0.0109 0.9802
0.2487 0.2487 0.2511
0.4893 0.4893 0.5104
0.7510 0.7510 0.7583
```


This record from Alexandria describes an optimized crystal structure of Sm3Te12As5. The functional is PBE.

Results
- Fermi-level density of states: 0.235 states/eV per atom
- E_form (uncorrected): -0.42 eV per atom

POSCAR file:
```
Sm3Te12As5
1.0
15.2490 0.0000 0.0000
-5.0830 14.3768 0.0000
-5.0830 -7.1884 12.4507
As Te Sm
20 48 12
direct
0.1250 0.3750 0.2500
0.0000 0.5000 0.0000
0.0000 0.0000 0.0000
0.3750 0.2500 0.1250
0.5000 0.0000 0.5000
0.5000 0.5000 0.0000
0.1250 0.7500 0.3750
0.7500 0.1250 0.8750
0.7500 0.6250 0.3750
0.3750 0.1250 0.7500
0.6250 0.8750 0.2500
0.5000 0.5000 0.5000
0.5000 0.0000 0.0000
0.0000 0.0000 0.5000
0.2500 0.3750 0.6250
0.2500 0.8750 0.1250
0.0000 0.5000 0.5000
0.8750 0.2500 0.6250
0.6250 0.7500 0.8750
0.8750 0.6250 0.7500
0.7137 0.1313 0.0431
0.3294 0.5431 0.4118
0.9569 0.3687 0.2863
0.5431 0.2137 0.1313
0.5824 0.7137 0.6706
0.9569 0.5882 0.1706
0.3294 0.7863 0.4176
0.0882 0.9176 0.1313
0.5882 0.9569 0.6706
0.7137 0.5824 0.1706
0.7863 0.4569 0.3687
0.8294 0.9118 0.0431
0.1313 0.7137 0.5431
0.3687 0.4118 0.0824
0.0824 0.9118 0.3687
0.4176 0.1313 0.5882
0.0824 0.1706 0.2137
0.4569 0.6706 0.0882
0.8294 0.9176 0.2863
0.1313 0.4176 0.0882
0.3687 0.9569 0.7863
0.5882 0.6313 0.4176
0.9118 0.8294 0.5431
0.7863 0.3294 0.9176
0.4118 0.3687 0.5824
0.0882 0.1706 0.4569
0.2137 0.6706 0.0824
0.1706 0.0824 0.7137
0.6313 0.0431 0.2137
0.8687 0.5824 0.9118
0.5431 0.3294 0.9118
0.5824 0.8687 0.4118
0.9176 0.8294 0.7863
0.9176 0.0882 0.6313
0.8687 0.2863 0.4569
0.1706 0.0882 0.9569
0.6313 0.5882 0.9176
0.4118 0.0431 0.3294
0.2863 0.4176 0.8294
0.2137 0.5431 0.6313
0.9118 0.0824 0.8687
0.6706 0.2137 0.5824
0.4569 0.7863 0.8687
0.0431 0.4118 0.8294
0.4176 0.2863 0.3294
0.0431 0.6313 0.7137
0.6706 0.4569 0.5882
0.2863 0.8687 0.9569
0.7500 0.3750 0.1250
0.8750 0.7500 0.1250
0.3750 0.7500 0.6250
0.2500 0.1250 0.3750
0.8750 0.1250 0.2500
0.3750 0.6250 0.2500
0.6250 0.3750 0.7500
0.1250 0.8750 0.7500
0.7500 0.8750 0.6250
0.6250 0.2500 0.3750
0.1250 0.2500 0.8750
0.2500 0.6250 0.8750
```


This record from Alexandria describes an optimized crystal structure of HfVTe. The functional is PBE.

Results
- Fermi-level density of states: 0.515 states/eV per atom
- E_form (uncorrected): -0.27 eV per atom

POSCAR file:
```
HfVTe
1.0
3.7789 0.0000 0.0000
0.0000 3.5258 0.0000
0.0000 1.7629 10.3905
V Te Hf
2 2 2
direct
0.7500 0.4688 0.0624
0.2500 0.5312 0.9376
0.7500 0.3333 0.3335
0.2500 0.6667 0.6665
0.7500 0.0919 0.8163
0.2500 0.9081 0.1837
```


This record from Alexandria describes an optimized crystal structure of Li4Ga2Au3. The functional is PBE.

Results
- Formation energy from the elements: -4.03 eV/f.u.
- Fermi-level density of states: 0.342 states/eV per atom

POSCAR file:
```
Li4Ga2Au3
1.0
-1.6769 -0.4060 3.5619
-3.7297 -3.4663 0.0479
3.4273 -6.6132 3.0585
Li Ga Au
4 2 3
direct
0.6641 0.5592 0.1125
0.0041 0.3303 0.6615
0.9959 0.6697 0.3385
0.3359 0.4408 0.8875
0.3296 0.1171 0.2237
0.6704 0.8829 0.7763
0.3379 0.7661 0.5582
0.0000 0.0000 0.0000
0.6621 0.2339 0.4418
```


This record from Alexandria describes an optimized crystal structure of CsAlSiO4. The functional is PBE.

Results
- Fermi-level density of states: 0.000 states/eV per atom
- E_form (uncorrected): -2.80 eV per atom

POSCAR file:
```
CsAlSiO4
1.0
5.4698 0.0000 0.0000
0.0000 9.1487 0.0000
0.0000 0.0000 9.5112
Cs Al Si O
4 4 4 16
direct
0.4892 0.0008 0.3044
0.9892 0.9992 0.6956
0.9892 0.4992 0.8044
0.4892 0.5008 0.1956
0.9997 0.8196 0.0854
0.4997 0.1804 0.9146
0.4997 0.6804 0.5854
0.9997 0.3196 0.4146
0.0000 0.6873 0.4140
0.5000 0.3127 0.5860
0.5000 0.8127 0.9140
0.0000 0.1873 0.0860
0.0013 0.5099 0.4047
0.5013 0.4901 0.5953
0.5013 0.9901 0.9047
0.0013 0.0099 0.0953
0.7391 0.7467 0.4779
0.2391 0.2533 0.5221
0.2391 0.7533 0.9779
0.7391 0.2467 0.0221
0.2217 0.7464 0.5162
0.7217 0.2536 0.4838
0.7217 0.7536 0.0162
0.2217 0.2464 0.9838
0.0419 0.7531 0.2563
0.5419 0.2469 0.7437
0.5419 0.7469 0.7563
0.0419 0.2531 0.2437
```


This record from Alexandria describes an optimized crystal structure of PmPr2Si3Pt12. The functional is PBE.

Results
- Fermi-level density of states: 0.532 states/eV per atom
- E_form (uncorrected): -0.52 eV per atom

POSCAR file:
```
PmPr2Si3Pt12
1.0
7.7738 -0.3115 -0.2210
3.5682 6.9135 -0.2210
3.5682 2.0770 6.5978
Pm Pr Si Pt
1 2 3 12
direct
0.0000 0.0000 0.0000
0.5977 0.5977 0.5977
0.4023 0.4023 0.4023
0.5000 0.0000 0.0000
0.0000 0.5000 0.0000
0.0000 0.0000 0.5000
0.3474 0.3474 0.9002
0.8530 0.8530 0.4081
0.4081 0.8530 0.8530
0.9002 0.3474 0.3474
0.8530 0.4081 0.8530
0.3474 0.9002 0.3474
0.6526 0.6526 0.0998
0.1470 0.1470 0.5919
0.5919 0.1470 0.1470
0.0998 0.6526 0.6526
0.1470 0.5919 0.1470
0.6526 0.0998 0.6526
```


This record from Alexandria describes an optimized crystal structure of K2ThTe3. The functional is PBE.

Results
- E_form (uncorrected): -1.19 eV per atom
- Energy above the most stable polymorph in this dataset: 57 meV per atom

POSCAR file:
```
K2ThTe3
1.0
6.5329 0.0000 0.0000
0.0000 9.3026 0.0022
-3.2665 -2.3270 7.6817
K Th Te
4 2 6
direct
0.6757 0.5878 0.3513
0.6756 0.0878 0.3513
0.3244 0.9122 0.6487
0.3243 0.4122 0.6487
0.9985 0.7500 0.0000
0.0015 0.2500 0.0000
0.5002 0.2500 0.0000
0.4998 0.7500 0.0000
0.1378 0.0689 0.2758
0.8621 0.4311 0.7242
0.1379 0.5689 0.2758
0.8622 0.9311 0.7242
```


This record from Alexandria describes an optimized crystal structure of YSi3. The functional is PBE.

Results
- Fermi-level density of states: 0.325 states/eV per atom
- E_form (uncorrected): -0.33 eV per atom

POSCAR file:
```
YSi3
1.0
-2.4832 -1.1590 -2.4144
4.2256 0.4755 -4.5742
1.8727 -6.2604 1.0791
Y Si
2 6
direct
0.0000 0.0000 0.6855
0.5000 0.5000 0.3145
0.5000 0.0000 0.3270
0.0000 0.5000 0.6730
0.0000 0.8100 0.1235
0.0000 0.1900 0.1235
0.5000 0.3100 0.8765
0.5000 0.6900 0.8765
```


This record from Alexandria describes an optimized crystal structure of SrPbNF2. The functional is PBE.

Results
- Fermi-level density of states: 0.229 states/eV per atom
- E_form (uncorrected): -1.28 eV per atom
- Energy above the most stable polymorph in this dataset: 114 meV per atom

POSCAR file:
```
SrPbNF2
1.0
-4.3895 1.0944 0.2246
-1.1112 -4.1818 -1.3393
-0.1309 -1.5238 4.8666
Pb Sr N F
1 1 1 2
direct
0.5000 0.5000 0.5000
0.0000 0.0000 0.0000
0.0000 0.0000 0.5000
0.0000 0.5000 0.0000
0.5000 0.0000 0.0000
```


This record from Alexandria describes an optimized crystal structure of SrPmEr2. The functional is PBE.

Results
- Formation energy from the elements: 0.94 eV/f.u.
- Fermi-level density of states: 1.423 states/eV per atom
- Energy above the most stable polymorph in this dataset: 99 meV per atom

POSCAR file:
```
SrPmEr2
1.0
3.6144 0.0000 0.0000
1.8072 3.1301 0.0000
1.8072 1.0434 12.7602
Sr Pm Er
1 1 2
direct
0.0000 0.0000 0.0000
0.5000 0.5000 0.5000
0.0925 0.0925 0.7225
0.9075 0.9075 0.2775
```


no.,total DFT energy (no corrections) (eV/cell),total magnetic moment (μB per formula unit)
1,-28.04,0.00
2,-20.32,1.15
3,-11.98,1.97
4,-49.45,0.00
5,-46.72,1.09
6,-27.15,0.00
7,-111.86,2.88
8,-17.83,0.00
9,-19.59,0.00
10,-31.16,4.06
11,-10.15,0.94
12,-333.99,0.00
13,-46.06,0.00
14,-27.57,0.00
15,-197.70,0.00
16,-112.47,0.00
17,-52.41,0.00
18,-48.08,0.00
19,-23.86,1.00
20,-14.62,0.00